This record from Alexandria describes a relaxed structure of Ba8As5Br. The functional is PBE-GGA.

Output
The formation energy (no corrections) is -1.25 eV/atom. The calculation puts the calculated volume at 36.93 Å³/atom. As for the total magnetization: 0.0000 μB per atom. For the total energy, the calculation gives -4.124 eV per atom.

a b c (Å): 10.1227 10.1227 10.0904
angles (deg): 90.00 90.00 90.00
With the nearest neighbours (Å) after each atom.
Space group I-4 (No. 82)
One atom of each set of equivalent atoms:
Ba 0.0641 0.1916 0.1810  3 As 3.24-3.33
Ba 0.0743 0.3273 0.5613  5 As 3.28-3.67, 1 Br 3.45
As 0.0000 0.5000 0.2500  4 Ba 3.26
As 0.1305 0.2549 0.8733  5 Ba 3.24-3.58
Br 0.0000 0.0000 0.5000  8 Ba 3.45-3.81